Entry 1:
A plane-wave DFT calculation with PBE-GGA was carried out for MnReBr after structural relaxation.

Lattice parameters (Å, degrees): 6.1121 6.1121 6.1121 151.53 151.53 40.70
With the nearest neighbours (Å) after each atom.
Fractional positions:
Br1 0.0097 0.0097 0.0000  4 Re 2.91, 4 Br 3.01, 4 Mn 3.15
Mn1 0.3072 0.3072 0.0000  4 Re 2.56
Re1 0.6832 0.6832 0.0000  4 Mn 2.56

Fermi-level density of states = 2.54 states/eV/f.u.
Crystal system = tetragonal
E_form (uncorrected) = 2.2 eV/f.u.
VASP energy = -21.08 eV per formula unit

Entry 2:
A plane-wave DFT calculation with PBE-GGA was carried out for NpAl2Hg after structural relaxation.

Lattice parameters (Å, degrees): 4.1365 4.5204 4.5204 90.00 90.00 90.00
With the nearest neighbours (Å) after each atom.
Fractional positions:
Np1 0.5000 0.0000 0.0000  8 Al 3.06, 4 Hg 3.20
Hg1 0.5000 0.5000 0.5000  8 Al 3.06, 4 Np 3.20
Al1 0.0000 0.0000 0.5000  4 Hg 3.06, 4 Np 3.06, 4 Al 3.20
Al2 0.0000 0.5000 0.0000  4 Hg 3.06, 4 Np 3.06, 4 Al 3.20

Fermi-level density of states = 8.44 states/eV/f.u.
Crystal system = tetragonal
ΔE_f = 0.08 eV/atom
VASP energy = -20.39 eV per formula unit

Entry 3:
A plane-wave DFT calculation with PBE-GGA was carried out for BaMnPt3 after structural relaxation.

Lattice parameters (Å, degrees): 4.7741 4.7741 4.7741 90.00 90.00 90.00
With the nearest neighbours (Å) after each atom.
Fractional positions:
Mn1 0.0000 0.0000 0.0000  6 Pt 2.39
Ba1 0.5000 0.5000 0.5000  12 Pt 3.38
Pt1 0.0000 0.5000 0.0000  2 Mn 2.39
Pt2 0.0000 0.0000 0.5000  2 Mn 2.39
Pt3 0.5000 0.0000 0.0000  2 Mn 2.39

Fermi-level density of states = 5.64 states/eV/f.u.
Crystal system = cubic
ΔE_f = 0.10 eV/atom
VASP energy = -28.70 eV per formula unit

Entry 4:
A plane-wave DFT calculation with PBE-GGA was carried out for LaTaPt2 after structural relaxation.

Lattice parameters (Å, degrees): 4.5070 4.5070 5.8018 67.12 67.12 60.00
With the nearest neighbours (Å) after each atom.
Fractional positions:
La1 0.2500 0.2500 0.2500  8 Pt 3.21-3.27
Pt1 0.0436 0.0436 0.8691  3 Ta 2.67, 3 Pt 2.88
Pt2 0.4564 0.4564 0.6309  3 Ta 2.67, 3 Pt 2.88
Ta1 0.7500 0.7500 0.7500  6 Pt 2.67

Fermi-level density of states = 2.87 states/eV/f.u.
Crystal system = trigonal
ΔE_f = -0.78 eV/atom
VASP energy = -31.96 eV per formula unit